Material: Zn5Tc
Method: DFT, GGA-PBEsol
State: relaxed

Computed properties:
The polymorph energy (0 for the lowest one) is 42 meV per atom. The raw total energy is -3.1644 eV/atom. The calculation puts the energy of formation at 32 meV/atom. Its magnetic moment is 0.000 μB per atom.

extended XYZ file:
```
6
Lattice="-1.631 1.646 -1.287 -1.264 -3.321 -2.645 -4.358 -2.434 5.140" Properties=species:S:1:pos:R:3 pbc="T T T"
Zn -2.522 0.292 0.839
Zn -3.464 -1.079 3.010
Tc -0.011 -0.004 0.010
Zn -1.760 -2.012 -0.342
Zn -4.322 -1.732 0.531
Zn -5.246 -3.097 2.687
```